Compound: ScTcCl2
Source: Alexandria via LeMat-Bulk
Functional: PBE
Structure: relaxed

Cell lengths 3.2130, 4.0574, 7.4068 Å; angles 79.44, 90.00, 90.00 degrees
With the nearest neighbours (Å) after each atom.
Positions (direct):
1 Sc 0.0000 0.5053 0.5502  2 Cl 2.61, 4 Tc 2.74-2.77
2 Tc 0.5000 0.9556 0.6802  3 Cl 2.37-2.47
3 Cl 0.0000 0.8264 0.9181  2 Tc 2.37
4 Cl 0.5000 0.2127 0.3516  1 Tc 2.47, 2 Sc 2.61

Results
* uncorrected formation energy: -0.691 eV/atom
* calculated total energy: -5.79 eV/atom
* relative energy among the computed polymorphs: 0.059 eV/f.u.
* SG: Pm


Compound: Co2PtS4
Source: Alexandria via LeMat-Bulk
Functional: PBE
Structure: relaxed

Cell lengths 6.7406, 6.7406, 6.7543 Å; angles 119.80, 119.79, 90.24 degrees
With the nearest neighbours (Å) after each atom.
Positions (direct):
1 Co 0.6250 0.3750 0.7500  6 S 2.25-2.26
2 Co 0.6250 0.8750 0.2500  6 S 2.25-2.26
3 Co 0.6250 0.3750 0.2500  6 S 2.25-2.26
4 Co 0.1250 0.3750 0.7500  6 S 2.25-2.26
5 Pt 0.2500 0.7500 0.5000  4 S 2.31
6 Pt 0.0000 0.0000 0.0000  4 S 2.31
7 S 0.8623 0.1419 0.2817  3 Co 2.25-2.26, 1 Pt 2.31
8 S 0.3877 0.6081 0.2183  3 Co 2.25-2.26, 1 Pt 2.31
9 S 0.8602 0.5806 0.7183  3 Co 2.25-2.26, 1 Pt 2.31
10 S 0.8581 0.1378 0.7184  3 Co 2.25-2.26, 1 Pt 2.31
11 S 0.4194 0.1397 0.2816  3 Co 2.25-2.26, 1 Pt 2.31
12 S 0.3898 0.1694 0.7817  3 Co 2.25-2.26, 1 Pt 2.31
13 S 0.3919 0.6123 0.7816  3 Co 2.25-2.26, 1 Pt 2.31
14 S 0.8306 0.6102 0.2184  3 Co 2.25-2.26, 1 Pt 2.31

Results
* uncorrected formation energy: -0.386 eV/atom
* calculated total energy: -5.64 eV/atom
* SG: Fddd
* DOS(E_F): 8.1 states/eV per cell


Compound: Sr2Li3SiNi12
Source: Alexandria via LeMat-Bulk
Functional: PBE
Structure: relaxed

Cell lengths 9.3548, 9.3548, 9.3548 Å; angles 37.02, 37.02, 37.02 degrees
With the nearest neighbours (Å) after each atom.
Positions (direct):
1 Sr 0.6522 0.6522 0.6522  12 Ni 3.01-3.34
2 Sr 0.3478 0.3478 0.3478  12 Ni 3.01-3.34
3 Li 0.5000 0.0000 0.0000  6 Ni 2.31-2.50
4 Li 0.0000 0.5000 0.0000  6 Ni 2.31-2.50
5 Li 0.0000 0.0000 0.5000  6 Ni 2.31-2.50
6 Si 0.0000 0.0000 0.0000  6 Ni 2.34
7 Ni 0.4176 0.4176 0.8119  2 Li 2.31, 4 Ni 2.34-2.38
8 Ni 0.9358 0.9358 0.3436  1 Si 2.34, 4 Ni 2.38-2.42, 1 Li 2.50
9 Ni 0.3436 0.9358 0.9358  1 Si 2.34, 4 Ni 2.38-2.42, 1 Li 2.50
10 Ni 0.8119 0.4176 0.4176  2 Li 2.31, 4 Ni 2.34-2.38
11 Ni 0.9358 0.3436 0.9358  1 Si 2.34, 4 Ni 2.38-2.42, 1 Li 2.50
12 Ni 0.4176 0.8119 0.4176  2 Li 2.31, 4 Ni 2.34-2.38
13 Ni 0.5824 0.5824 0.1881  2 Li 2.31, 4 Ni 2.34-2.38
14 Ni 0.0642 0.0642 0.6564  1 Si 2.34, 4 Ni 2.38-2.42, 1 Li 2.50
15 Ni 0.6564 0.0642 0.0642  1 Si 2.34, 4 Ni 2.38-2.42, 1 Li 2.50
16 Ni 0.1881 0.5824 0.5824  2 Li 2.31, 4 Ni 2.34-2.38
17 Ni 0.0642 0.6564 0.0642  1 Si 2.34, 4 Ni 2.38-2.42, 1 Li 2.50
18 Ni 0.5824 0.1881 0.5824  2 Li 2.31, 4 Ni 2.34-2.38

Results
* uncorrected formation energy: 0.180 eV/atom
* calculated total energy: -4.48 eV/atom
* SG: R-3m
* DOS(E_F): 27.5 states/eV per cell


Compound: Ga2Ru
Source: Alexandria via LeMat-Bulk
Functional: PBE
Structure: relaxed

Cell lengths 6.5603, 6.5603, 6.5603 Å; angles 60.00, 60.00, 60.00 degrees
With the nearest neighbours (Å) after each atom.
Positions (direct):
1 Ga 0.9312 0.3563 0.3563  3 Ru 2.51, 3 Ga 2.79
2 Ga 0.3563 0.9312 0.3563  3 Ru 2.51, 3 Ga 2.79
3 Ga 0.3563 0.3563 0.3563  3 Ru 2.51, 3 Ga 2.79
4 Ga 0.3188 0.8937 0.8937  3 Ru 2.51, 3 Ga 2.79
5 Ga 0.3563 0.3563 0.9312  3 Ru 2.51, 3 Ga 2.79
6 Ga 0.8937 0.3188 0.8937  3 Ru 2.51, 3 Ga 2.79
7 Ga 0.8937 0.8937 0.8937  3 Ru 2.51, 3 Ga 2.79
8 Ga 0.8937 0.8937 0.3188  3 Ru 2.51, 3 Ga 2.79
9 Ru 0.6250 0.6250 0.6250  6 Ga 2.51
10 Ru 0.6250 0.6250 0.1250  6 Ga 2.51
11 Ru 0.1250 0.6250 0.6250  6 Ga 2.51
12 Ru 0.6250 0.1250 0.6250  6 Ga 2.51

Results
* calculated total energy: -5.12 eV/atom
* energy relative to the elements: -10 meV/atom
* SG: Fd-3m
* DOS(E_F): 9.3 states/eV per cell


Compound: Ca3I3N
Source: Alexandria via LeMat-Bulk
Functional: PBE
Structure: relaxed

Cell lengths 4.0463, 8.7544, 12.1640 Å; angles 91.91, 90.00, 90.00 degrees
With the nearest neighbours (Å) after each atom.
Positions (direct):
1 Ca 0.2500 0.2972 0.6141  2 N 2.59
2 Ca 0.7500 0.7028 0.3859  2 N 2.59
3 Ca 0.2500 0.9170 0.5927  3 N 2.47-2.66
4 Ca 0.7500 0.0830 0.4073  3 N 2.47-2.66
5 Ca 0.2500 0.8897 0.1905  1 N 2.43
6 Ca 0.7500 0.1103 0.8095  1 N 2.43
7 I 0.2500 0.3822 0.3710  3 Ca 3.07-3.35
8 I 0.7500 0.6178 0.6290  3 Ca 3.07-3.35
9 I 0.2500 0.8630 0.8635  3 Ca 3.05-3.34
10 I 0.7500 0.1370 0.1365  3 Ca 3.05-3.34
11 I 0.2500 0.3670 0.8654  3 Ca 3.08-3.10
12 I 0.7500 0.6330 0.1346  3 Ca 3.08-3.10
13 N 0.2500 0.8867 0.3901  6 Ca 2.43-2.66
14 N 0.7500 0.1133 0.6099  6 Ca 2.43-2.66

Results
* uncorrected formation energy: -1.322 eV/atom
* calculated total energy: -4.03 eV/atom
* relative energy among the computed polymorphs: 0.183 eV/f.u.
* SG: P2_1/m
* DOS(E_F): 0.0 states/eV per cell


Compound: Ta2TcAg
Source: Alexandria via LeMat-Bulk
Functional: PBE
Structure: relaxed

Cell lengths 7.2832, 7.2832, 5.8612 Å; angles 51.59, 51.59, 90.00 degrees
With the nearest neighbours (Å) after each atom.
Positions (direct):
1 Tc 0.5000 0.5000 0.0000  4 Ta 2.54, 2 Ag 2.80
2 Tc 0.2500 0.7500 0.5000  4 Ta 2.54, 2 Ag 2.80
3 Ag 0.0000 0.0000 0.0000  2 Tc 2.80, 4 Ta 2.81
4 Ag 0.7500 0.2500 0.5000  2 Tc 2.80, 4 Ta 2.81
5 Ta 0.5974 0.1250 0.2500  2 Tc 2.54, 2 Ag 2.81, 2 Ta 2.83
6 Ta 0.1526 0.6250 0.2500  2 Tc 2.54, 2 Ag 2.81, 2 Ta 2.83
7 Ta 0.3750 0.4026 0.7500  2 Tc 2.54, 2 Ag 2.81, 2 Ta 2.83
8 Ta 0.8750 0.8474 0.7500  2 Tc 2.54, 2 Ag 2.81, 2 Ta 2.83

Results
* calculated total energy: -8.58 eV/atom
* relative energy among the computed polymorphs: 2.348 eV/f.u.
* energy relative to the elements: 650 meV/atom
* SG: I-42d
* DOS(E_F): 7.1 states/eV per cell


Compound: CsGa2Cu
Source: Alexandria via LeMat-Bulk
Functional: PBE
Structure: relaxed

Cell lengths 4.3281, 4.3281, 7.2948 Å; angles 72.74, 72.74, 60.00 degrees
With the nearest neighbours (Å) after each atom.
Positions (direct):
1 Cs 0.5000 0.5000 0.5000  8 Ga 3.87-3.90, 6 Cu 4.24, 6 Cs 4.33
2 Cu 0.0000 0.0000 0.0000  6 Ga 2.54
3 Ga 0.6896 0.6896 0.9311  3 Cu 2.54, 3 Ga 2.67
4 Ga 0.3104 0.3104 0.0689  3 Cu 2.54, 3 Ga 2.67

Results
* calculated total energy: -2.82 eV/atom
* relative energy among the computed polymorphs: 0.000 eV/f.u.
* energy relative to the elements: -70 meV/atom
* SG: R-3m
* DOS(E_F): 1.4 states/eV per cell


Compound: CaPm2Er
Source: Alexandria via LeMat-Bulk
Functional: PBE
Structure: relaxed

Cell lengths 5.0337, 5.2214, 5.2214 Å; angles 90.00, 90.00, 90.00 degrees
With the nearest neighbours (Å) after each atom.
Positions (direct):
1 Ca 0.5000 0.5000 0.5000  8 Pm 3.63, 4 Er 3.69
2 Pm 0.0000 0.0000 0.5000  4 Ca 3.63, 4 Er 3.63, 4 Pm 3.69
3 Pm 0.0000 0.5000 0.0000  4 Er 3.63, 4 Ca 3.63, 4 Pm 3.69
4 Er 0.5000 0.0000 0.0000  8 Pm 3.63, 4 Ca 3.69

Results
* calculated total energy: -3.91 eV/atom
* relative energy among the computed polymorphs: 0.259 eV/f.u.
* energy relative to the elements: 106 meV/atom
* SG: P4/mmm
* DOS(E_F): 6.0 states/eV per cell


Compound: NaHf3Tc
Source: Alexandria via LeMat-Bulk
Functional: PBE
Structure: relaxed

Cell lengths 4.8131, 4.8131, 4.8131 Å; angles 90.00, 90.00, 90.00 degrees
With the nearest neighbours (Å) after each atom.
Positions (direct):
1 Na 0.0000 0.0000 0.0000  6 Hf 2.41
2 Hf 0.0000 0.5000 0.0000  2 Na 2.41
3 Hf 0.0000 0.0000 0.5000  2 Na 2.41
4 Hf 0.5000 0.0000 0.0000  2 Na 2.41
5 Tc 0.5000 0.5000 0.5000  12 Hf 3.40

Results
* calculated total energy: -6.33 eV/atom
* relative energy among the computed polymorphs: 7.165 eV/f.u.
* energy relative to the elements: 1976 meV/atom
* SG: Pm-3m
* DOS(E_F): 6.3 states/eV per cell


Compound: InPb3Se
Source: Alexandria via LeMat-Bulk
Functional: PBE
Structure: relaxed

Cell lengths 5.7156, 5.7156, 5.7156 Å; angles 90.00, 90.00, 90.00 degrees
With the nearest neighbours (Å) after each atom.
Positions (direct):
1 Pb 0.0000 0.5000 0.0000  2 Se 2.86
2 Pb 0.0000 0.0000 0.5000  2 Se 2.86
3 Pb 0.5000 0.0000 0.0000  2 Se 2.86
4 Se 0.0000 0.0000 0.0000  6 Pb 2.86
5 In 0.5000 0.5000 0.5000  12 Pb 4.04

Results
* uncorrected formation energy: 0.225 eV/atom
* calculated total energy: -3.24 eV/atom
* relative energy among the computed polymorphs: 0.000 eV/f.u.
* SG: Pm-3m
* DOS(E_F): 2.8 states/eV per cell


Compound: BeTlSe2
Source: Alexandria via LeMat-Bulk
Functional: PBE
Structure: relaxed

Cell lengths 3.5588, 5.0699, 6.0264 Å; angles 89.84, 90.00, 90.00 degrees
With the nearest neighbours (Å) after each atom.
Positions (direct):
1 Be 0.5000 0.7500 0.7500  4 Se 2.30
2 Tl 0.5000 0.2500 0.2500  8 Se 3.46-3.47, 2 Tl 3.56
3 Se 0.0000 0.7509 0.9922  2 Be 2.30
4 Se 0.0000 0.7491 0.5078  2 Be 2.30

Results
* uncorrected formation energy: -0.235 eV/atom
* calculated total energy: -3.50 eV/atom
* relative energy among the computed polymorphs: 0.703 eV/f.u.
* SG: P2/m
* DOS(E_F): 0.9 states/eV per cell


Compound: Pm4Zn2Ga5
Source: Alexandria via LeMat-Bulk
Functional: PBE
Structure: relaxed

Cell lengths 3.7705, 7.2498, 9.2674 Å; angles 94.31, 90.00, 90.00 degrees
With the nearest neighbours (Å) after each atom.
Positions (direct):
1 Pm 0.5000 0.7265 0.5717  4 Zn 3.10-3.15, 6 Ga 3.13-3.31, 1 Pm 3.45
2 Pm 0.5000 0.1871 0.8856  8 Ga 3.08-3.28, 2 Zn 3.09
3 Pm 0.5000 0.2735 0.4283  4 Zn 3.10-3.15, 6 Ga 3.13-3.31, 1 Pm 3.45
4 Pm 0.5000 0.8129 0.1144  8 Ga 3.08-3.28, 2 Zn 3.09
5 Zn 0.0000 0.0624 0.6322  1 Zn 2.55, 2 Ga 2.70-2.74
6 Zn 0.0000 0.9376 0.3678  1 Zn 2.55, 2 Ga 2.70-2.74
7 Ga 0.0000 0.5643 0.2971  1 Zn 2.74, 2 Ga 2.76-2.94
8 Ga 0.0000 0.1832 0.1632  1 Zn 2.70, 2 Ga 2.84-2.94
9 Ga 0.0000 0.5000 0.0000  4 Ga 2.76-2.84, 4 Pm 3.08
10 Ga 0.0000 0.8168 0.8368  1 Zn 2.70, 2 Ga 2.84-2.94
11 Ga 0.0000 0.4357 0.7029  1 Zn 2.74, 2 Ga 2.76-2.94

Results
* calculated total energy: -3.78 eV/atom
* energy relative to the elements: -441 meV/atom
* SG: P2/m
* DOS(E_F): 9.0 states/eV per cell